[1]
{
  "formula": "KNiW2",
  "functional": "PBE",
  "state": "relaxed",
  "lattice": [[2.745, 0.000, 0.000], [0.000, 2.745, 0.000], [0.000, 0.000, 9.796]],
  "species": ["K", "Ni", "W", "W"],
  "fractional_positions": [[0.000, 0.000, 0.000], [0.500, 0.500, 0.278], [0.000, 0.000, 0.446], [0.500, 0.500, 0.676]],
  "magmom_total_mub_per_fu": 0.0,
  "delta_e_f_ev_per_atom": 0.78,
  "space_group": "No. 99",
  "de_polymorph_ev_per_atom": 0.062,
  "energy_ev_per_fu": -29.67
}

---

[2]
{
  "formula": "Pm2Nd3Y3",
  "functional": "PBE",
  "state": "relaxed",
  "lattice": [[8.187, -2.927, 0.000], [8.187, 2.927, 0.000], [-2.128, 0.000, 5.710]],
  "species": ["Pm", "Pm", "Nd", "Nd", "Nd", "Y", "Y", "Y"],
  "fractional_positions": [[0.250, 0.250, 0.183], [0.750, 0.750, 0.817], [0.366, 0.366, 0.809], [0.500, 0.500, 0.500], [0.634, 0.634, 0.191], [0.000, 0.000, 0.000], [0.130, 0.130, 0.582], [0.870, 0.870, 0.418]],
  "magmom_total_mub_per_fu": 0.0,
  "delta_e_f_ev_per_atom": 0.08,
  "space_group": "No. 12",
  "de_polymorph_ev_per_atom": 0.000,
  "energy_ev_per_fu": -42.52
}